First-principles (PBE) data for a relaxed AcZr crystal, as listed in OQMD.

Cell: 8.462 18.334 5.133 Å, 90.00 90.00 90.00°
Sites, in units of the cell vectors:
Ac 0.063 0.176 0.250
Ac 0.063 0.324 0.750
Ac 0.151 0.009 0.750
Ac 0.151 0.491 0.250
Ac 0.432 0.064 0.250
Ac 0.432 0.436 0.750
Ac 0.568 0.564 0.250
Ac 0.568 0.936 0.750
Ac 0.849 0.509 0.750
Ac 0.849 0.991 0.250
Ac 0.937 0.676 0.250
Ac 0.937 0.824 0.750
Zr 0.246 0.619 0.750
Zr 0.246 0.881 0.250
Zr 0.333 0.704 0.250
Zr 0.333 0.796 0.750
Zr 0.416 0.193 0.750
Zr 0.416 0.307 0.250
Zr 0.584 0.693 0.750
Zr 0.584 0.807 0.250
Zr 0.667 0.204 0.250
Zr 0.667 0.296 0.750
Zr 0.754 0.119 0.750
Zr 0.754 0.381 0.250

Calculated values
Polymorph energy (0 for the lowest one), eV/f.u.: 0.209
Formation energy, eV per atom: 0.244

***

First-principles (PBE) data for a relaxed BaCoMoAu crystal, as listed in OQMD.

Cell: 4.832 4.832 4.832 Å, 60.00 60.00 60.00°
Sites, in units of the cell vectors:
Ba 0.000 0.000 0.000
Co 0.500 0.500 0.500
Mo 0.750 0.750 0.750
Au 0.250 0.250 0.250

Calculated values
Polymorph energy (0 for the lowest one), eV/f.u.: 0.549

***

First-principles (PBE) data for a relaxed Ni5S4 crystal, as listed in OQMD.

Cell: 6.242 6.242 6.242 Å, 94.22 94.22 148.54°
Sites, in units of the cell vectors:
Ni 0.000 0.000 0.000
Ni 0.293 0.376 0.669
Ni 0.376 0.707 0.083
Ni 0.624 0.293 0.917
Ni 0.707 0.624 0.331
S 0.060 0.259 0.319
S 0.259 0.940 0.199
S 0.741 0.060 0.801
S 0.940 0.741 0.681

Calculated values
DFT total energy, eV per atom: -5.2103

***

First-principles (PBE) data for a relaxed BaTaCd crystal, as listed in OQMD.

Cell: 5.062 5.062 5.062 Å, 60.00 60.00 60.00°
Sites, in units of the cell vectors:
Ba 0.000 0.000 0.000
Ta 0.250 0.250 0.250
Cd 0.500 0.500 0.500

Calculated values
DFT total energy, eV per atom: -3.6073

***

First-principles (PBE) data for a relaxed Zr3AlGa2NiPt2 crystal, as listed in OQMD.

Cell: 3.548 7.131 7.131 Å, 120.39 90.00 90.00°
Sites, in units of the cell vectors:
Zr 0.000 0.000 0.000
Zr 0.000 0.390 0.786
Zr 0.000 0.786 0.390
Al 0.500 0.638 0.638
Ga 0.500 0.144 0.395
Ga 0.500 0.395 0.144
Ni 0.000 0.393 0.393
Pt 0.500 0.052 0.724
Pt 0.500 0.724 0.052

Calculated values
DFT total energy, eV per atom: -6.7866

***

First-principles (PBE) data for a relaxed AlIrAu crystal, as listed in OQMD.

Cell: 4.299 4.299 4.299 Å, 60.00 60.00 60.00°
Sites, in units of the cell vectors:
Al 0.000 0.000 0.000
Ir 0.250 0.250 0.250
Au 0.500 0.500 0.500

Calculated values
Polymorph energy (0 for the lowest one), eV/f.u.: 0.000

***

Density values (in g/cm3) by entry order: 7.962; 10.182; 5.731; 7.799; 9.484; 12.303.